No. 1
{"formula": "BeNb2Zn", "functional": "PBE", "state": "optimized geometry", "cell": [[-1.953, 0.382, 3.978], [-0.541, 4.015, 1.836], [-4.068, 1.770, 0.319]], "species": ["Be", "Nb", "Nb", "Zn"], "frac_coords": [[0.250, 0.250, 0.250], [0.000, 0.000, 0.000], [0.750, 0.750, 0.750], [0.500, 0.500, 0.500]], "final_energy_ev_per_atom": -5.86, "density_g_cm3": 6.94, "crystal_system": "cubic", "vol_a3_per_atom": 15.56}



No. 2
{"formula": "ZrBeNb2", "functional": "PBE", "state": "optimized geometry", "cell": [[0.000, 3.264, 3.264], [3.264, 0.000, 3.264], [3.264, 3.264, 0.000]], "species": ["Be", "Nb", "Nb", "Zr"], "frac_coords": [[0.500, 0.500, 0.500], [0.000, 0.000, 0.000], [0.750, 0.750, 0.750], [0.250, 0.250, 0.250]], "final_energy_ev_per_atom": -7.95, "density_g_cm3": 6.83, "crystal_system": "cubic", "vol_a3_per_atom": 17.38}



No. 3
{"formula": "NdBe2", "functional": "PBE", "state": "optimized geometry", "cell": [[0.000, 3.649, 3.649], [3.649, 0.000, 3.649], [3.649, 3.649, 0.000]], "species": ["Be", "Be", "Be", "Be", "Nd", "Nd"], "frac_coords": [[0.625, 0.625, 0.125], [0.625, 0.125, 0.625], [0.125, 0.625, 0.625], [0.625, 0.625, 0.625], [0.000, 0.000, 0.000], [0.250, 0.250, 0.250]], "final_energy_ev_per_atom": -3.89, "density_g_cm3": 5.54, "crystal_system": "cubic", "vol_a3_per_atom": 16.20}



No. 4
{"formula": "Nd2Be", "functional": "PBE", "state": "optimized geometry", "cell": [[-3.852, -4.167, -2.682], [-5.656, 1.810, -2.033], [-1.168, 0.317, -6.159]], "species": ["Be", "Be", "Nd", "Nd", "Nd", "Nd"], "frac_coords": [[0.000, 0.000, 0.000], [0.250, 0.250, 0.250], [0.625, 0.625, 0.125], [0.625, 0.125, 0.625], [0.125, 0.625, 0.625], [0.625, 0.625, 0.625]], "final_energy_ev_per_atom": -3.43, "density_g_cm3": 5.65, "crystal_system": "cubic", "vol_a3_per_atom": 29.15}